P | Crystalline NaLa2Ce at its relaxed geometry, computed with PBE.

a = 3.566 Å, b = 3.566 Å, c = 10.747 Å
α = 90.00°, β = 90.00°, γ = 90.00°
Last column: magnetic moment on the atom in μB.
Fractional coordinates of all 4 atoms:
1 Ce 0.500 0.500 0.000  0.05
2 La 0.000 0.000 0.781  0.00
3 La 0.000 0.000 0.219  0.00
4 Na 0.500 0.500 0.500  0.00

- Density of states at the Fermi level: 5.14 states/eV per cell
- Space group: No. 123



Q | Crystalline NaLa2Ce at its relaxed geometry, computed with PBE.

a = 4.172 Å, b = 4.172 Å, c = 10.803 Å
α = 78.87°, β = 78.87°, γ = 60.00°
Fractional coordinates of all 4 atoms:
1 Ce 0.500 0.500 0.500
2 Na 0.000 0.000 0.000
3 La 0.117 0.117 0.649
4 La 0.883 0.883 0.351

- Density of states at the Fermi level: 7.83 states/eV per cell
- Space group: No. 166



Which of them is the least stable? Correct choice: Q.



P | Crystalline NaLaCe at its relaxed geometry, computed with PBE.

a = 3.495 Å, b = 3.495 Å, c = 16.139 Å
α = 90.00°, β = 90.00°, γ = 90.00°
Fractional coordinates of all 6 atoms:
1 Na 0.000 0.500 0.589
2 Na 0.500 0.000 0.411
3 Ce 0.500 0.000 0.068
4 Ce 0.000 0.500 0.932
5 La 0.000 0.500 0.222
6 La 0.500 0.000 0.778

- Density of states at the Fermi level: 8.82 states/eV per cell
- Space group: No. 129



Q | Crystalline NaLaCe at its relaxed geometry, computed with PBE.

a = 3.525 Å, b = 3.525 Å, c = 9.418 Å
α = 90.00°, β = 90.00°, γ = 120.00°
Last column: magnetic moment on the atom in μB.
Fractional coordinates of all 3 atoms:
1 Ce 0.333 0.667 0.655  0.78
2 La 0.667 0.333 0.349  -0.01
3 Na 0.000 0.000 0.997  0.00

- Density of states at the Fermi level: 6.44 states/eV per cell
- Space group: No. 156



Which of them is the least stable? Correct choice: Q.



P | Crystalline LaCe2Nd at its relaxed geometry, computed with PBE.

a = 3.506 Å, b = 3.506 Å, c = 10.241 Å
α = 90.00°, β = 90.00°, γ = 90.00°
Last column: magnetic moment on the atom in μB.
Fractional coordinates of all 4 atoms:
1 Ce 0.000 0.000 0.253  0.49
2 Ce 0.000 0.000 0.747  0.49
3 La 0.500 0.500 0.500  0.02
4 Nd 0.500 0.500 0.000  0.01

- Density of states at the Fermi level: 11.03 states/eV per cell
- Space group: No. 123



Q | Crystalline LaCe2Nd at its relaxed geometry, computed with PBE.

a = 3.422 Å, b = 3.422 Å, c = 12.500 Å
α = 82.13°, β = 82.13°, γ = 60.00°
Last column: magnetic moment on the atom in μB.
Fractional coordinates of all 4 atoms:
1 Nd 0.500 0.500 0.500  -0.01
2 La 0.000 0.000 0.000  -0.03
3 Ce 0.086 0.086 0.742  0.48
4 Ce 0.914 0.914 0.258  0.48

- Density of states at the Fermi level: 9.98 states/eV per cell
- Space group: No. 166



R | Crystalline LaCe2Nd at its relaxed geometry, computed with PBE.

a = 5.759 Å, b = 5.759 Å, c = 5.759 Å
α = 60.00°, β = 60.00°, γ = 60.00°
Last column: magnetic moment on the atom in μB.
Fractional coordinates of all 4 atoms:
1 La 0.500 0.500 0.500  0.30
2 Nd 0.000 0.000 0.000  0.27
3 Ce 0.750 0.750 0.750  1.10
4 Ce 0.250 0.250 0.250  1.10

- Density of states at the Fermi level: 15.28 states/eV per cell
- Space group: No. 225



Which of them is the least stable? Correct choice: R.



P | Crystalline LaCe2Nd at its relaxed geometry, computed with PBE.

a = 5.115 Å, b = 4.981 Å, c = 4.981 Å
α = 90.00°, β = 90.00°, γ = 90.00°
Last column: magnetic moment on the atom in μB.
Fractional coordinates of all 4 atoms:
1 Ce 0.000 0.000 0.500  0.58
2 Ce 0.000 0.500 0.000  0.58
3 La 0.500 0.000 0.000  0.02
4 Nd 0.500 0.500 0.500  0.00

- Density of states at the Fermi level: 10.62 states/eV per cell
- Space group: No. 123



Q | Crystalline LaCe2Nd at its relaxed geometry, computed with PBE.

a = 3.545 Å, b = 3.545 Å, c = 11.955 Å
α = 81.47°, β = 81.47°, γ = 60.00°
Last column: magnetic moment on the atom in μB.
Fractional coordinates of all 4 atoms:
1 Ce 0.083 0.083 0.751  0.26
2 Ce 0.250 0.250 0.249  0.74
3 La 0.498 0.498 0.505  0.01
4 Nd 0.668 0.668 0.995  -0.01

- Density of states at the Fermi level: 10.96 states/eV per cell
- Space group: No. 160



Which of them is the least stable? Correct choice: Q.



P | Crystalline LaCeNd at its relaxed geometry, computed with PBE.

a = 3.555 Å, b = 5.743 Å, c = 5.743 Å
α = 120.00°, β = 90.00°, γ = 90.00°
Last column: magnetic moment on the atom in μB.
Fractional coordinates of all 3 atoms:
1 Ce 0.166 0.333 0.667  0.72
2 Nd 0.167 0.000 0.000  0.02
3 La 0.667 0.667 0.333  0.00

- Density of states at the Fermi level: 7.45 states/eV per cell
- Space group: No. 156



Q | Crystalline LaCeNd at its relaxed geometry, computed with PBE.

a = 3.446 Å, b = 8.626 Å, c = 6.644 Å
α = 90.00°, β = 90.00°, γ = 90.00°
Last column: magnetic moment on the atom in μB.
Fractional coordinates of all 6 atoms:
1 La 0.500 0.155 0.250  0.03
2 La 0.500 0.845 0.750  0.03
3 Ce 0.000 0.153 0.750  0.57
4 Ce 0.000 0.847 0.250  0.57
5 Nd 0.000 0.500 0.000  0.02
6 Nd 0.000 0.500 0.500  0.02

- Density of states at the Fermi level: 15.69 states/eV per cell
- Space group: No. 51



Which of them is the least stable? Correct choice: Q.



P | Crystalline LaCeNd at its relaxed geometry, computed with PBE.

a = 3.578 Å, b = 3.578 Å, c = 8.085 Å
α = 102.78°, β = 102.78°, γ = 90.00°
Fractional coordinates of all 3 atoms:
1 Ce 0.334 0.334 0.669
2 La 0.988 0.988 0.976
3 Nd 0.677 0.677 0.355

- Density of states at the Fermi level: 4.72 states/eV per cell
- Space group: No. 107



Q | Crystalline LaCeNd at its relaxed geometry, computed with PBE.

a = 6.285 Å, b = 3.628 Å, c = 17.488 Å
α = 101.98°, β = 32.95°, γ = 89.98°
Last column: magnetic moment on the atom in μB.
Fractional coordinates of all 6 atoms:
1 Nd 0.853 0.598 0.896  -0.01
2 Nd 0.183 0.454 0.255  -0.01
3 Ce 0.272 0.275 0.574  0.30
4 Ce 0.764 0.777 0.576  0.30
5 La 0.362 0.094 0.893  -0.01
6 La 0.674 0.957 0.258  -0.01

- Density of states at the Fermi level: 11.62 states/eV per cell
- Space group: No. 2



Which of them is the least stable? Correct choice: Q.



P | Crystalline LaCe2Ni at its relaxed geometry, computed with PBE.

a = 3.543 Å, b = 3.543 Å, c = 8.180 Å
α = 90.00°, β = 90.00°, γ = 90.00°
Fractional coordinates of all 4 atoms:
1 La 0.500 0.500 0.500
2 Ce 0.000 0.000 0.181
3 Ce 0.000 0.000 0.819
4 Ni 0.500 0.500 0.000

- Density of states at the Fermi level: 9.18 states/eV per cell
- Space group: No. 123



Q | Crystalline LaCe2Ni at its relaxed geometry, computed with PBE.

a = 3.739 Å, b = 3.739 Å, c = 9.530 Å
α = 78.69°, β = 78.69°, γ = 60.00°
Last column: magnetic moment on the atom in μB.
Fractional coordinates of all 4 atoms:
1 Ni 0.667 0.667 0.998  0.00
2 Ce 0.273 0.273 0.182  0.70
3 Ce 0.062 0.062 0.815  -0.34
4 La 0.498 0.498 0.506  0.02

- Density of states at the Fermi level: 9.00 states/eV per cell
- Space group: No. 160



Which of them is the least stable? Correct choice: Q.



P | Crystalline LaCeO2 at its relaxed geometry, computed with PBE.

a = 5.079 Å, b = 5.079 Å, c = 6.203 Å
α = 114.17°, β = 114.17°, γ = 90.00°
Fractional coordinates of all 8 atoms:
1 O 0.996 0.496 0.991
2 O 0.754 0.754 0.509
3 O 0.504 0.004 0.009
4 O 0.246 0.246 0.491
5 La 0.500 0.500 0.000
6 La 0.250 0.750 0.500
7 Ce 0.750 0.250 0.500
8 Ce 0.000 0.000 0.000

- Density of states at the Fermi level: 7.99 states/eV per cell
- Space group: No. 141



Q | Crystalline LaCeO2 at its relaxed geometry, computed with PBE.

a = 3.584 Å, b = 3.584 Å, c = 6.211 Å
α = 73.23°, β = 73.23°, γ = 60.00°
Last column: magnetic moment on the atom in μB.
Fractional coordinates of all 4 atoms:
1 La 0.000 0.000 0.000  0.00
2 O 0.245 0.245 0.264  0.00
3 O 0.755 0.755 0.736  0.00
4 Ce 0.500 0.500 0.500  0.09

- Density of states at the Fermi level: 3.66 states/eV per cell
- Space group: No. 166



R | Crystalline LaCeO2 at its relaxed geometry, computed with PBE.

a = 3.539 Å, b = 3.539 Å, c = 6.516 Å
α = 74.24°, β = 74.24°, γ = 60.00°
Last column: magnetic moment on the atom in μB.
Fractional coordinates of all 4 atoms:
1 La 0.495 0.495 0.515  0.02
2 O 0.254 0.254 0.239  -0.01
3 O 0.080 0.080 0.759  -0.01
4 Ce 0.671 0.671 0.987  0.83

- Density of states at the Fermi level: 4.87 states/eV per cell
- Space group: No. 160



Which of them is the least stable? Correct choice: R.



P | Crystalline LaCe2Os at its relaxed geometry, computed with PBE.

a = 4.024 Å, b = 4.024 Å, c = 9.009 Å
α = 77.09°, β = 77.09°, γ = 60.00°
Last column: magnetic moment on the atom in μB.
Fractional coordinates of all 4 atoms:
1 Os 0.665 0.665 0.006  -0.02
2 Ce 0.057 0.057 0.828  0.40
3 Ce 0.276 0.276 0.173  -0.04
4 La 0.503 0.503 0.492  0.06

- Density of states at the Fermi level: 8.23 states/eV per cell
- Space group: No. 160



Q | Crystalline LaCe2Os at its relaxed geometry, computed with PBE.

a = 3.562 Å, b = 3.562 Å, c = 8.104 Å
α = 90.00°, β = 90.00°, γ = 90.00°
Fractional coordinates of all 4 atoms:
1 Os 0.500 0.500 0.000
2 La 0.500 0.500 0.500
3 Ce 0.000 0.000 0.803
4 Ce 0.000 0.000 0.197

- Density of states at the Fermi level: 8.48 states/eV per cell
- Space group: No. 123



R | Crystalline LaCe2Os at its relaxed geometry, computed with PBE.

a = 4.660 Å, b = 4.660 Å, c = 5.845 Å
α = 66.51°, β = 66.51°, γ = 60.00°
Fractional coordinates of all 4 atoms:
1 Ce 0.262 0.262 0.213
2 Ce 0.738 0.738 0.787
3 Os 0.000 0.000 0.000
4 La 0.500 0.500 0.500

- Density of states at the Fermi level: 7.22 states/eV per cell
- Space group: No. 166



Which of them is the least stable? Correct choice: R.



P | Crystalline LaCe2Os2 at its relaxed geometry, computed with PBE.

a = 4.565 Å, b = 4.565 Å, c = 5.849 Å
α = 93.38°, β = 93.38°, γ = 109.15°
Fractional coordinates of all 5 atoms:
1 Os 0.488 0.488 0.239
2 Os 0.512 0.512 0.761
3 Ce 0.805 0.195 0.500
4 Ce 0.195 0.805 0.500
5 La 0.000 0.000 0.000

- Density of states at the Fermi level: 6.73 states/eV per cell
- Space group: No. 12



Q | Crystalline LaCe2Os2 at its relaxed geometry, computed with PBE.

a = 4.171 Å, b = 6.513 Å, c = 9.794 Å
α = 77.84°, β = 77.71°, γ = 71.33°
Fractional coordinates of all 10 atoms:
1 Ce 0.054 0.601 0.291
2 Ce 0.820 0.273 0.088
3 Ce 0.180 0.727 0.912
4 Ce 0.946 0.399 0.709
5 Os 0.381 0.654 0.583
6 Os 0.435 0.204 0.926
7 Os 0.619 0.346 0.417
8 Os 0.565 0.796 0.074
9 La 0.313 0.022 0.351
10 La 0.687 0.978 0.649

- Density of states at the Fermi level: 13.51 states/eV per cell
- Space group: No. 12



Which of them is the least stable? Correct choice: P.



P | Crystalline LaCe4Os2 at its relaxed geometry, computed with PBE.

a = 6.341 Å, b = 8.459 Å, c = 7.716 Å
α = 116.91°, β = 90.00°, γ = 90.00°
Last column: magnetic moment on the atom in μB.
Fractional coordinates of all 14 atoms:
1 La 0.750 0.139 0.009  0.01
2 La 0.250 0.861 0.991  0.01
3 Ce 0.485 0.427 0.796  0.11
4 Ce 0.250 0.988 0.614  0.23
5 Ce 0.515 0.573 0.204  0.11
6 Ce 0.750 0.705 0.650  0.10
7 Ce 0.250 0.295 0.350  0.10
8 Ce 0.985 0.573 0.204  0.11
9 Ce 0.750 0.012 0.386  0.23
10 Ce 0.015 0.427 0.796  0.11
11 Os 0.250 0.661 0.556  -0.02
12 Os 0.250 0.230 0.983  -0.02
13 Os 0.750 0.770 0.017  -0.02
14 Os 0.750 0.339 0.444  -0.02

- Density of states at the Fermi level: 31.13 states/eV per cell
- Space group: No. 11



Q | Crystalline LaCe4Os2 at its relaxed geometry, computed with PBE.

a = 4.705 Å, b = 4.829 Å, c = 7.959 Å
α = 107.66°, β = 90.00°, γ = 90.00°
Fractional coordinates of all 7 atoms:
1 Ce 0.000 0.321 0.642
2 Ce 0.500 0.811 0.623
3 Ce 0.500 0.189 0.377
4 Ce 0.000 0.679 0.358
5 Os 0.500 0.415 0.831
6 Os 0.500 0.585 0.169
7 La 0.000 0.000 0.000

- Density of states at the Fermi level: 9.58 states/eV per cell
- Space group: No. 65



Which of them is the least stable? Correct choice: Q.



P | Crystalline LaCe3Os at its relaxed geometry, computed with PBE.

a = 6.630 Å, b = 6.667 Å, c = 6.124 Å
α = 90.00°, β = 86.60°, γ = 90.00°
Fractional coordinates of all 10 atoms:
1 Ce 0.293 0.006 0.074
2 Ce 0.707 0.506 0.926
3 Ce 0.602 0.750 0.426
4 Ce 0.398 0.250 0.574
5 Ce 0.293 0.494 0.074
6 Ce 0.707 0.994 0.926
7 Os 0.049 0.250 0.810
8 Os 0.951 0.750 0.190
9 La 0.880 0.250 0.378
10 La 0.120 0.750 0.622

- Density of states at the Fermi level: 21.85 states/eV per cell
- Space group: No. 11



Q | Crystalline LaCe3Os at its relaxed geometry, computed with PBE.

a = 5.481 Å, b = 5.481 Å, c = 5.481 Å
α = 90.00°, β = 90.00°, γ = 90.00°
Last column: magnetic moment on the atom in μB.
Fractional coordinates of all 5 atoms:
1 Ce 0.000 0.500 0.000  0.49
2 Ce 0.500 0.000 0.000  0.49
3 Ce 0.000 0.000 0.500  0.49
4 La 0.500 0.500 0.500  0.11
5 Os 0.000 0.000 0.000  -0.05

- Density of states at the Fermi level: 16.04 states/eV per cell
- Space group: No. 221



Which of them is the least stable? Correct choice: Q.